No. 1
# Ca3SmU2As6 | Alexandria via LeMat-Bulk | GGA-PBE | relaxed
data_Ca3SmU2As6
_cell_length_a 7.266
_cell_length_b 7.266
_cell_length_c 7.257
_cell_angle_alpha 99.61
_cell_angle_beta 99.61
_cell_angle_gamma 119.99
_symmetry_space_group_name_H-M 'P 1'
_symmetry_Int_Tables_number 1
_symmetry_space_group_name_Hall 'P 1'
loop_
_atom_site_label
_atom_site_type_symbol
_atom_site_fract_x
_atom_site_fract_y
_atom_site_fract_z
Ca1 Ca 0.000 0.000 0.000
Ca2 Ca 0.336 0.664 0.000
Ca3 Ca 0.664 0.336 0.000
Sm1 Sm 0.500 0.500 0.500
U1 U 0.167 0.833 0.500
U2 U 0.833 0.167 0.500
As1 As 0.078 0.422 0.268
As2 As 0.233 0.233 0.732
As3 As 0.422 0.078 0.268
As4 As 0.578 0.922 0.732
As5 As 0.767 0.767 0.268
As6 As 0.922 0.578 0.732
# Formation energy   -1.10 eV per atom
# DFT total energy   -74.4 eV/f.u.

No. 2
# NaZrSeO5 | Alexandria via LeMat-Bulk | GGA-PBE | relaxed
data_NaZrSeO5
_cell_length_a 5.828
_cell_length_b 5.828
_cell_length_c 7.997
_cell_angle_alpha 107.57
_cell_angle_beta 107.57
_cell_angle_gamma 99.62
_symmetry_space_group_name_H-M 'P 1'
_symmetry_Int_Tables_number 1
_symmetry_space_group_name_Hall 'P 1'
loop_
_atom_site_label
_atom_site_type_symbol
_atom_site_fract_x
_atom_site_fract_y
_atom_site_fract_z
Na1 Na 0.184 0.816 0.750
Na2 Na 0.816 0.184 0.250
Zr1 Zr 0.500 0.500 0.000
Zr2 Zr 0.500 0.500 0.500
Se1 Se 0.186 0.814 0.250
Se2 Se 0.814 0.186 0.750
O1 O 0.125 0.241 0.885
O2 O 0.187 0.653 0.422
O3 O 0.241 0.125 0.385
O4 O 0.347 0.813 0.078
O5 O 0.453 0.547 0.750
O6 O 0.547 0.453 0.250
O7 O 0.653 0.187 0.922
O8 O 0.759 0.875 0.615
O9 O 0.813 0.347 0.578
O10 O 0.875 0.759 0.115
# E_form (uncorrected)   -1.77 eV per atom
# DFT total energy   -52.3 eV/f.u.

No. 3
# Hf2NpPb | Alexandria via LeMat-Bulk | GGA-PBE | relaxed
data_Hf2NpPb
_cell_length_a 3.659
_cell_length_b 3.659
_cell_length_c 6.856
_cell_angle_alpha 90.00
_cell_angle_beta 90.00
_cell_angle_gamma 90.00
_symmetry_space_group_name_H-M 'P 1'
_symmetry_Int_Tables_number 1
_symmetry_space_group_name_Hall 'P 1'
loop_
_atom_site_label
_atom_site_type_symbol
_atom_site_fract_x
_atom_site_fract_y
_atom_site_fract_z
Hf1 Hf 0.000 0.000 0.246
Hf2 Hf 0.000 0.000 0.754
Np1 Np 0.500 0.500 0.000
Pb1 Pb 0.500 0.500 0.500
# Energy above the lowest structure with this stoichiometry   79 meV per atom
# Formation energy   0.28 eV per atom
# DFT total energy   -35.4 eV/f.u.

No. 4
# La2TeC | Alexandria via LeMat-Bulk | GGA-PBE | relaxed
data_La2TeC
_cell_length_a 6.724
_cell_length_b 6.724
_cell_length_c 6.724
_cell_angle_alpha 112.79
_cell_angle_beta 112.79
_cell_angle_gamma 103.02
_symmetry_space_group_name_H-M 'P 1'
_symmetry_Int_Tables_number 1
_symmetry_space_group_name_Hall 'P 1'
loop_
_atom_site_label
_atom_site_type_symbol
_atom_site_fract_x
_atom_site_fract_y
_atom_site_fract_z
La1 La 0.037 0.125 0.412
La2 La 0.375 0.963 0.088
La3 La 0.713 0.625 0.588
La4 La 0.875 0.287 0.912
Te1 Te 0.250 0.750 0.500
Te2 Te 0.500 0.500 0.000
C1 C 0.000 0.000 0.000
C2 C 0.750 0.250 0.500
# E_form (uncorrected)   -0.74 eV per atom
# DFT total energy   -25.2 eV/f.u.

No. 5
# Co2CuPb | Alexandria via LeMat-Bulk | GGA-PBE | relaxed
data_Co2CuPb
_cell_length_a 7.903
_cell_length_b 7.903
_cell_length_c 7.903
_cell_angle_alpha 22.43
_cell_angle_beta 22.43
_cell_angle_gamma 22.43
_symmetry_space_group_name_H-M 'P 1'
_symmetry_Int_Tables_number 1
_symmetry_space_group_name_Hall 'P 1'
loop_
_atom_site_label
_atom_site_type_symbol
_atom_site_fract_x
_atom_site_fract_y
_atom_site_fract_z
Co1 Co 0.241 0.241 0.241
Co2 Co 0.759 0.759 0.759
Cu1 Cu 0.500 0.500 0.500
Pb1 Pb 0.000 0.000 0.000
# Formation energy   0.71 eV per atom
# DFT total energy   -19.2 eV/f.u.

No. 6
# LiSmGaRh | Alexandria via LeMat-Bulk | GGA-PBE | relaxed
data_LiSmGaRh
_cell_length_a 4.673
_cell_length_b 4.673
_cell_length_c 4.673
_cell_angle_alpha 60.00
_cell_angle_beta 60.00
_cell_angle_gamma 60.00
_symmetry_space_group_name_H-M 'P 1'
_symmetry_Int_Tables_number 1
_symmetry_space_group_name_Hall 'P 1'
loop_
_atom_site_label
_atom_site_type_symbol
_atom_site_fract_x
_atom_site_fract_y
_atom_site_fract_z
Li1 Li 0.000 0.000 0.000
Sm1 Sm 0.750 0.750 0.750
Ga1 Ga 0.250 0.250 0.250
Rh1 Rh 0.500 0.500 0.500
# Formation energy   -0.51 eV per atom
# DFT total energy   -19.1 eV/f.u.

No. 7
# BaHgN2O | Alexandria via LeMat-Bulk | GGA-PBE | relaxed
data_BaHgN2O
_cell_length_a 5.756
_cell_length_b 5.756
_cell_length_c 4.671
_cell_angle_alpha 90.00
_cell_angle_beta 90.00
_cell_angle_gamma 90.00
_symmetry_space_group_name_H-M 'P 1'
_symmetry_Int_Tables_number 1
_symmetry_space_group_name_Hall 'P 1'
loop_
_atom_site_label
_atom_site_type_symbol
_atom_site_fract_x
_atom_site_fract_y
_atom_site_fract_z
Ba1 Ba 0.000 0.000 0.000
Hg1 Hg 0.500 0.500 0.500
N1 N 0.000 0.500 0.000
N2 N 0.500 0.000 0.000
O1 O 0.000 0.000 0.500
# E_form (uncorrected)   1.24 eV per atom
# DFT total energy   -17.6 eV/f.u.

No. 8
# UH3S2Br6 | Alexandria via LeMat-Bulk | GGA-PBE | relaxed
data_UH3S2Br6
_cell_length_a 6.411
_cell_length_b 6.411
_cell_length_c 9.620
_cell_angle_alpha 99.00
_cell_angle_beta 99.00
_cell_angle_gamma 62.27
_symmetry_space_group_name_H-M 'P 1'
_symmetry_Int_Tables_number 1
_symmetry_space_group_name_Hall 'P 1'
loop_
_atom_site_label
_atom_site_type_symbol
_atom_site_fract_x
_atom_site_fract_y
_atom_site_fract_z
U1 U 0.000 0.000 0.000
H1 H 0.000 0.500 0.500
H2 H 0.500 0.000 0.500
H3 H 0.500 0.500 0.500
S1 S 0.332 0.332 0.500
S2 S 0.668 0.668 0.500
Br1 Br 0.076 0.076 0.751
Br2 Br 0.108 0.581 0.874
Br3 Br 0.419 0.892 0.126
Br4 Br 0.581 0.108 0.874
Br5 Br 0.892 0.419 0.126
Br6 Br 0.924 0.924 0.249
# DFT total energy   -43.0 eV/f.u.

No. 9
# MgMnOs2 | Alexandria via LeMat-Bulk | GGA-PBE | relaxed
data_MgMnOs2
_cell_length_a 4.706
_cell_length_b 4.706
_cell_length_c 4.706
_cell_angle_alpha 131.78
_cell_angle_beta 131.78
_cell_angle_gamma 70.58
_symmetry_space_group_name_H-M 'P 1'
_symmetry_Int_Tables_number 1
_symmetry_space_group_name_Hall 'P 1'
loop_
_atom_site_label
_atom_site_type_symbol
_atom_site_fract_x
_atom_site_fract_y
_atom_site_fract_z
Mg1 Mg 0.000 0.000 0.000
Mn1 Mn 0.500 0.500 0.000
Os1 Os 0.250 0.750 0.500
Os2 Os 0.750 0.250 0.500
# Formation energy   0.27 eV per atom
# DFT total energy   -32.1 eV/f.u.

No. 10
# TlPRh3 | Alexandria via LeMat-Bulk | GGA-PBE | relaxed
data_TlPRh3
_cell_length_a 4.941
_cell_length_b 4.941
_cell_length_c 4.941
_cell_angle_alpha 90.00
_cell_angle_beta 90.00
_cell_angle_gamma 90.00
_symmetry_space_group_name_H-M 'P 1'
_symmetry_Int_Tables_number 1
_symmetry_space_group_name_Hall 'P 1'
loop_
_atom_site_label
_atom_site_type_symbol
_atom_site_fract_x
_atom_site_fract_y
_atom_site_fract_z
Tl1 Tl 0.000 0.000 0.000
P1 P 0.500 0.500 0.500
Rh1 Rh 0.000 0.000 0.500
Rh2 Rh 0.000 0.500 0.000
Rh3 Rh 0.500 0.000 0.000
# Energy above the lowest structure with this stoichiometry   1941 meV per atom
# Formation energy   1.86 eV per atom
# DFT total energy   -20.5 eV/f.u.

No. 11
# PIr2Os | Alexandria via LeMat-Bulk | GGA-PBE | relaxed
data_PIr2Os
_cell_length_a 6.806
_cell_length_b 6.806
_cell_length_c 6.806
_cell_angle_alpha 134.41
_cell_angle_beta 134.41
_cell_angle_gamma 66.45
_symmetry_space_group_name_H-M 'P 1'
_symmetry_Int_Tables_number 1
_symmetry_space_group_name_Hall 'P 1'
loop_
_atom_site_label
_atom_site_type_symbol
_atom_site_fract_x
_atom_site_fract_y
_atom_site_fract_z
P1 P 0.000 0.000 0.000
P2 P 0.750 0.250 0.500
Ir1 Ir 0.102 0.625 0.977
Ir2 Ir 0.375 0.352 0.477
Ir3 Ir 0.648 0.125 0.023
Ir4 Ir 0.875 0.898 0.523
Os1 Os 0.250 0.750 0.500
Os2 Os 0.500 0.500 0.000
# Formation energy   0.47 eV per atom
# DFT total energy   -32.5 eV/f.u.

No. 12
# Sc2AlPtRh | Alexandria via LeMat-Bulk | GGA-PBE | relaxed
data_Sc2AlPtRh
_cell_length_a 4.754
_cell_length_b 4.754
_cell_length_c 5.042
_cell_angle_alpha 90.00
_cell_angle_beta 90.00
_cell_angle_gamma 90.00
_symmetry_space_group_name_H-M 'P 1'
_symmetry_Int_Tables_number 1
_symmetry_space_group_name_Hall 'P 1'
loop_
_atom_site_label
_atom_site_type_symbol
_atom_site_fract_x
_atom_site_fract_y
_atom_site_fract_z
Sc1 Sc 0.000 0.500 0.000
Sc2 Sc 0.500 0.000 0.000
Al1 Al 0.000 0.000 0.500
Pt1 Pt 0.500 0.500 0.500
Rh1 Rh 0.500 0.500 0.000
# Formation energy   0.00 eV per atom
# DFT total energy   -29.8 eV/f.u.

No. 13
# PrCdIrPd | Alexandria via LeMat-Bulk | GGA-PBE | relaxed
data_PrCdIrPd
_cell_length_a 4.871
_cell_length_b 4.871
_cell_length_c 4.871
_cell_angle_alpha 60.00
_cell_angle_beta 60.00
_cell_angle_gamma 60.00
_symmetry_space_group_name_H-M 'P 1'
_symmetry_Int_Tables_number 1
_symmetry_space_group_name_Hall 'P 1'
loop_
_atom_site_label
_atom_site_type_symbol
_atom_site_fract_x
_atom_site_fract_y
_atom_site_fract_z
Pr1 Pr 0.000 0.000 0.000
Cd1 Cd 0.500 0.500 0.500
Ir1 Ir 0.750 0.750 0.750
Pd1 Pd 0.250 0.250 0.250
# Formation energy   -0.38 eV per atom
# DFT total energy   -21.3 eV/f.u.

No. 14
# RbCrAsSe4 | Alexandria via LeMat-Bulk | GGA-PBE | relaxed
data_RbCrAsSe4
_cell_length_a 7.004
_cell_length_b 6.980
_cell_length_c 8.494
_cell_angle_alpha 90.00
_cell_angle_beta 97.56
_cell_angle_gamma 90.00
_symmetry_space_group_name_H-M 'P 1'
_symmetry_Int_Tables_number 1
_symmetry_space_group_name_Hall 'P 1'
loop_
_atom_site_label
_atom_site_type_symbol
_atom_site_fract_x
_atom_site_fract_y
_atom_site_fract_z
Rb1 Rb 0.197 0.250 0.081
Rb2 Rb 0.803 0.750 0.919
Cr1 Cr 0.128 0.750 0.456
Cr2 Cr 0.872 0.250 0.544
As1 As 0.401 0.250 0.670
As2 As 0.599 0.750 0.330
Se1 Se 0.104 0.501 0.672
Se2 Se 0.104 0.999 0.672
Se3 Se 0.261 0.750 0.195
Se4 Se 0.477 0.750 0.576
Se5 Se 0.523 0.250 0.424
Se6 Se 0.739 0.250 0.805
Se7 Se 0.896 0.001 0.328
Se8 Se 0.896 0.499 0.328
# E_form (uncorrected)   -0.42 eV per atom
# DFT total energy   -32.1 eV/f.u.

No. 15
# CaPN2 | Alexandria via LeMat-Bulk | GGA-PBE | relaxed
data_CaPN2
_cell_length_a 6.815
_cell_length_b 6.815
_cell_length_c 6.815
_cell_angle_alpha 24.20
_cell_angle_beta 24.20
_cell_angle_gamma 24.20
_symmetry_space_group_name_H-M 'P 1'
_symmetry_Int_Tables_number 1
_symmetry_space_group_name_Hall 'P 1'
loop_
_atom_site_label
_atom_site_type_symbol
_atom_site_fract_x
_atom_site_fract_y
_atom_site_fract_z
Ca1 Ca 0.000 0.000 0.000
P1 P 0.500 0.500 0.500
N1 N 0.120 0.120 0.120
N2 N 0.880 0.880 0.880
# E_form (uncorrected)   0.29 eV per atom
# DFT total energy   -22.9 eV/f.u.

No. 16
# Ac2AgTeS5 | Alexandria via LeMat-Bulk | GGA-PBE | relaxed
data_Ac2AgTeS5
_cell_length_a 9.372
_cell_length_b 9.372
_cell_length_c 12.259
_cell_angle_alpha 90.00
_cell_angle_beta 90.00
_cell_angle_gamma 153.46
_symmetry_space_group_name_H-M 'P 1'
_symmetry_Int_Tables_number 1
_symmetry_space_group_name_Hall 'P 1'
loop_
_atom_site_label
_atom_site_type_symbol
_atom_site_fract_x
_atom_site_fract_y
_atom_site_fract_z
Ac1 Ac 0.104 0.896 0.500
Ac2 Ac 0.137 0.863 0.118
Ac3 Ac 0.863 0.137 0.618
Ac4 Ac 0.896 0.104 0.000
Ag1 Ag 0.255 0.745 0.885
Ag2 Ag 0.745 0.255 0.385
Te1 Te 0.430 0.570 0.298
Te2 Te 0.570 0.430 0.798
S1 S 0.117 0.883 0.868
S2 S 0.269 0.731 0.516
S3 S 0.338 0.662 0.154
S4 S 0.378 0.622 0.808
S5 S 0.482 0.518 0.546
S6 S 0.518 0.482 0.046
S7 S 0.622 0.378 0.308
S8 S 0.662 0.338 0.654
S9 S 0.731 0.269 0.016
S10 S 0.883 0.117 0.368
# E_form (uncorrected)   -1.09 eV per atom
# DFT total energy   -44.7 eV/f.u.

No. 17
# CaSb2 | Alexandria via LeMat-Bulk | GGA-PBE | relaxed
data_CaSb2
_cell_length_a 6.459
_cell_length_b 6.459
_cell_length_c 10.208
_cell_angle_alpha 90.00
_cell_angle_beta 90.00
_cell_angle_gamma 120.00
_symmetry_space_group_name_H-M 'P 1'
_symmetry_Int_Tables_number 1
_symmetry_space_group_name_Hall 'P 1'
loop_
_atom_site_label
_atom_site_type_symbol
_atom_site_fract_x
_atom_site_fract_y
_atom_site_fract_z
Ca1 Ca 0.333 0.667 0.066
Ca2 Ca 0.333 0.667 0.434
Ca3 Ca 0.667 0.333 0.566
Ca4 Ca 0.667 0.333 0.934
Sb1 Sb 0.000 0.000 0.000
Sb2 Sb 0.000 0.000 0.500
Sb3 Sb 0.173 0.345 0.750
Sb4 Sb 0.173 0.827 0.750
Sb5 Sb 0.345 0.173 0.250
Sb6 Sb 0.655 0.827 0.750
Sb7 Sb 0.827 0.173 0.250
Sb8 Sb 0.827 0.655 0.250
# E_form (uncorrected)   -0.28 eV per atom
# DFT total energy   -11.1 eV/f.u.

No. 18
# TcBiO6 | Alexandria via LeMat-Bulk | GGA-PBE | relaxed
data_TcBiO6
_cell_length_a 5.412
_cell_length_b 5.412
_cell_length_c 5.331
_cell_angle_alpha 119.28
_cell_angle_beta 119.28
_cell_angle_gamma 63.46
_symmetry_space_group_name_H-M 'P 1'
_symmetry_Int_Tables_number 1
_symmetry_space_group_name_Hall 'P 1'
loop_
_atom_site_label
_atom_site_type_symbol
_atom_site_fract_x
_atom_site_fract_y
_atom_site_fract_z
Tc1 Tc 0.000 0.000 0.000
Bi1 Bi 0.500 0.500 0.500
O1 O 0.163 0.703 0.702
O2 O 0.234 0.234 0.095
O3 O 0.297 0.837 0.298
O4 O 0.703 0.163 0.702
O5 O 0.766 0.766 0.905
O6 O 0.837 0.297 0.298
# E_form (uncorrected)   -0.79 eV per atom
# DFT total energy   -50.4 eV/f.u.

No. 19
# Mg2GaPd2 | Alexandria via LeMat-Bulk | GGA-PBE | relaxed
data_Mg2GaPd2
_cell_length_a 7.612
_cell_length_b 7.612
_cell_length_c 2.991
_cell_angle_alpha 90.00
_cell_angle_beta 90.00
_cell_angle_gamma 90.00
_symmetry_space_group_name_H-M 'P 1'
_symmetry_Int_Tables_number 1
_symmetry_space_group_name_Hall 'P 1'
loop_
_atom_site_label
_atom_site_type_symbol
_atom_site_fract_x
_atom_site_fract_y
_atom_site_fract_z
Mg1 Mg 0.143 0.357 0.000
Mg2 Mg 0.357 0.857 0.000
Mg3 Mg 0.643 0.143 0.000
Mg4 Mg 0.857 0.643 0.000
Ga1 Ga 0.000 0.000 0.000
Ga2 Ga 0.500 0.500 0.000
Pd1 Pd 0.152 0.652 0.500
Pd2 Pd 0.348 0.152 0.500
Pd3 Pd 0.652 0.848 0.500
Pd4 Pd 0.848 0.348 0.500
# Formation energy   -0.43 eV per atom
# DFT total energy   -18.8 eV/f.u.

No. 20
# K3LiI | Alexandria via LeMat-Bulk | GGA-PBE | relaxed
data_K3LiI
_cell_length_a 6.823
_cell_length_b 6.823
_cell_length_c 6.823
_cell_angle_alpha 90.00
_cell_angle_beta 90.00
_cell_angle_gamma 90.00
_symmetry_space_group_name_H-M 'P 1'
_symmetry_Int_Tables_number 1
_symmetry_space_group_name_Hall 'P 1'
loop_
_atom_site_label
_atom_site_type_symbol
_atom_site_fract_x
_atom_site_fract_y
_atom_site_fract_z
K1 K 0.000 0.000 0.500
K2 K 0.000 0.500 0.000
K3 K 0.500 0.000 0.000
Li1 Li 0.500 0.500 0.500
I1 I 0.000 0.000 0.000
# Energy above the lowest structure with this stoichiometry   0 meV per atom
# E_form (uncorrected)   -0.38 eV per atom
# DFT total energy   -8.7 eV/f.u.